MnTcBrO4 (GGA+U, relaxed); VASP energy = -6.995 eV/atom
1.0
-3.257 -4.974 -0.898
3.049 -3.361 -3.946
3.897 -7.847 3.909
Mn Br O Tc
2 2 8 2
Cartesian
3.057 -7.666 2.267
0.632 -8.515 -3.201
0.286 -1.788 -0.354
3.403 -14.394 -0.580
1.568 -11.751 0.355
2.040 -6.180 0.948
2.121 -4.431 -1.289
-0.358 -5.066 -0.091
1.050 -7.070 -1.571
4.047 -11.116 -0.843
1.649 -10.002 -1.882
2.639 -9.112 0.637
1.211 -5.692 -0.509
2.478 -10.490 -0.425